## A
DFT (PBEsol) results for a relaxed structure of Ba3P2S8.

```
13
Lattice="6.5716 0.0000 0.0000 -3.2858 5.6912 0.0000 0.0000 0.0000 8.6325" Properties=species:S:1:pos:R:3 pbc="T T T"
P 0.0000 3.7941 6.7569
S 0.0000 1.9070 5.9640
S 0.0000 3.7941 0.1361
S 1.6343 4.7377 5.9640
S 1.6515 0.9535 2.6684
S 3.2858 3.7842 2.6684
S 3.2858 1.8971 8.4963
P 3.2858 1.8971 1.8756
S -1.6343 4.7377 5.9640
Ba 0.0000 0.0000 0.0000
S 4.9202 0.9535 2.6684
Ba 3.2858 1.8971 5.4405
Ba 0.0000 3.7941 3.1920
```

N(E_F) in states/eV per cell: 0.000
SG: P-3m1

=====

## B
DFT (PBEsol) results for a relaxed structure of Ba3P2S8.

```
52
Lattice="6.5417 0.0000 0.0000 0.0000 11.6082 -0.0246 0.0000 -0.0460 17.1997" Properties=species:S:1:pos:R:3 pbc="T T T"
P 3.0285 1.8332 2.4016
S 4.9682 4.9124 7.1427
S 3.5049 7.7166 15.1363
S 6.3076 1.9125 15.1486
S 1.6193 10.5018 6.5397
S 0.2341 9.6496 2.0266
P 6.4003 3.7943 6.1932
P 3.5131 9.7289 14.7735
Ba 2.9354 5.5204 12.8549
P 0.2423 7.6373 2.3893
S 3.2011 3.7872 10.0479
P 3.4121 9.5984 6.1809
S 5.0819 10.5072 15.8347
Ba 0.0857 7.7507 7.3206
S 4.7629 1.1005 1.5643
P 6.2993 3.9249 14.7858
S 5.7631 3.4646 4.2910
Ba 6.4723 3.9392 1.2504
Ba 0.3355 11.3245 12.8426
S 1.4598 1.0549 1.3404
S 1.7788 10.4617 15.6108
S 1.6974 0.8456 10.0448
S 0.0697 9.5913 10.0356
Ba 3.6063 6.0417 4.3202
S 1.8110 6.8590 1.3281
S 0.4273 6.9323 4.2866
Ba 6.4559 3.8115 9.8546
P 0.1413 7.7678 10.9820
S 3.3405 7.7749 7.1272
Ba 0.0693 7.6229 15.9247
S 4.8442 10.7165 7.1304
S 3.0367 3.8455 2.0389
S 4.8901 6.8645 10.6232
S 2.8436 1.1282 4.2989
Ba 3.2015 1.8188 15.9370
S 3.6981 10.4339 12.8763
Ba 3.3566 9.6156 9.8423
S 1.5734 6.6497 10.0325
S 6.4720 1.9708 7.1395
S 4.7306 4.7031 15.8470
S 0.7786 8.0976 12.8842
P 3.1295 1.9637 10.9943
S 2.4922 2.2935 12.8965
S 5.0496 6.9046 1.5520
S 4.0494 9.2687 4.2787
S 1.4921 4.6576 15.6231
Ba 6.2062 0.2376 4.3325
S 4.9223 1.0604 10.6355
Ba 3.3402 9.7433 1.2381
S 1.6515 4.6977 6.5520
Ba 3.1851 1.9466 7.3329
S 6.1144 4.6298 12.8886
```

N(E_F) in states/eV per cell: 0.000
SG: P2_1/c

=====

Stability summary - winner: B; margin: 9 meV/atom.

=====

## A
DFT (PBEsol) results for a relaxed structure of BaSiPS2.

```
5
Lattice="4.5622 0.0000 0.0000 0.0000 4.7908 0.0000 0.0000 0.0000 4.7908" Properties=species:S:1:pos:R:3 pbc="T T T"
P 2.2811 0.0000 0.0000
S 0.0000 0.0000 2.3954
Si 0.0000 0.0000 0.0000
S 0.0000 2.3954 0.0000
Ba 2.2811 2.3954 2.3954
```

N(E_F) in states/eV per cell: 3.710
SG: P4/mmm

=====

## B
DFT (PBEsol) results for a relaxed structure of BaSiPS2.

```
5
Lattice="-3.4165 0.2001 4.3097 -3.9122 -2.4612 -2.9871 1.8267 -4.9394 1.6774" Properties=species:S:1:pos:R:3 pbc="T T T"
S -1.9561 -1.2306 -1.4936
Ba 0.0000 0.0000 0.0000
Si -2.7510 -3.6003 1.5000
P 0.9134 -2.4697 0.8387
S -1.7083 0.1000 2.1548
```

N(E_F) in states/eV per cell: 5.843
SG: P4/mmm

=====

Stability summary - winner: A; margin: 1897 meV/atom.

=====

## A
DFT (PBEsol) results for a relaxed structure of BaTaPS2.

```
5
Lattice="-4.3284 -0.3708 2.1039 2.1053 0.0663 4.3430 -0.3657 4.8540 0.1031" Properties=species:S:1:pos:R:3 pbc="T T T"
S -2.1642 -0.1854 1.0519
P -0.1828 2.4270 0.0516
Ba -1.2944 2.2748 3.2750
S 1.0527 0.0332 2.1715
Ta 0.0000 0.0000 0.0000
```

N(E_F) in states/eV per cell: 1.863
SG: P4/mmm

=====

## B
DFT (PBEsol) results for a relaxed structure of BaTaPS2.

```
5
Lattice="-3.8719 -2.1944 -3.0067 3.6584 -2.9953 -2.5250 -0.6451 -3.8682 3.6540" Properties=species:S:1:pos:R:3 pbc="T T T"
Ba 0.0000 0.0000 0.0000
S 1.8292 -1.4977 -1.2625
S -0.3226 -1.9341 1.8270
P -1.9360 -1.0972 -1.5033
Ta -0.4293 -4.5290 -0.9388
```

N(E_F) in states/eV per cell: 6.239
SG: P4/mmm

=====

Stability summary - winner: A; margin: 2843 meV/atom.